[1]
Entry from the Alexandria database: a PBEsol-optimized structure of SnH12C4S2Cl4 (SCAN).

a = 6.642 Å, b = 8.121 Å, c = 12.126 Å
α = 90.00°, β = 90.00°, γ = 106.42°
Positions (direct):
Sn  0.000  0.000  0.000
Sn  0.500  0.500  0.500
H  0.146  0.594  0.791
H  0.646  0.094  0.709
H  0.854  0.406  0.209
H  0.354  0.906  0.291
H  0.217  0.639  0.933
H  0.717  0.139  0.567
H  0.783  0.361  0.067
H  0.283  0.861  0.433
H  0.949  0.612  0.891
H  0.449  0.112  0.609
H  0.051  0.388  0.109
H  0.551  0.888  0.391
H  0.846  0.835  0.749
H  0.346  0.335  0.751
H  0.154  0.165  0.251
H  0.654  0.665  0.249
H  0.043  0.017  0.694
H  0.543  0.517  0.806
H  0.957  0.983  0.306
H  0.457  0.483  0.194
H  0.049  0.802  0.659
H  0.549  0.302  0.841
H  0.951  0.198  0.341
H  0.451  0.698  0.159
C  0.115  0.658  0.866
C  0.615  0.158  0.634
C  0.885  0.342  0.134
C  0.385  0.842  0.366
C  0.011  0.884  0.724
C  0.511  0.384  0.776
C  0.989  0.116  0.276
C  0.489  0.616  0.224
S  0.183  0.884  0.837
S  0.683  0.384  0.663
S  0.817  0.116  0.163
S  0.317  0.616  0.337
Cl  0.338  0.198  0.051
Cl  0.838  0.698  0.449
Cl  0.662  0.802  0.949
Cl  0.162  0.302  0.551
Cl  0.061  0.785  0.125
Cl  0.561  0.285  0.375
Cl  0.939  0.215  0.875
Cl  0.439  0.715  0.625

**Symmetry**: P2_1/c, No. 14
**Uncorrected energy**: -7.742 eV per atom

***

[2]
Entry from the Alexandria database: a PBEsol-optimized structure of SiH9C3Cl (SCAN).

a = 6.281 Å, b = 6.742 Å, c = 7.644 Å
α = 90.00°, β = 90.00°, γ = 90.31°
Positions (direct):
H  0.697  0.034  0.958
H  0.303  0.966  0.458
H  0.303  0.966  0.042
H  0.697  0.034  0.542
H  0.708  0.267  0.070
H  0.292  0.733  0.570
H  0.292  0.733  0.930
H  0.708  0.267  0.430
H  0.937  0.177  0.958
H  0.063  0.823  0.458
H  0.063  0.823  0.042
H  0.937  0.177  0.542
H  0.944  0.590  0.750
H  0.056  0.410  0.250
H  0.710  0.659  0.868
H  0.290  0.341  0.368
H  0.290  0.341  0.132
H  0.710  0.659  0.632
Si  0.680  0.318  0.750
Si  0.320  0.682  0.250
C  0.762  0.186  0.953
C  0.238  0.814  0.453
C  0.238  0.814  0.047
C  0.762  0.186  0.547
C  0.768  0.582  0.750
C  0.232  0.418  0.250
Cl  0.344  0.321  0.750
Cl  0.656  0.679  0.250

**Symmetry**: P2_1/m, No. 11
**Uncorrected energy**: -6.030 eV per atom

***

[3]
Entry from the Alexandria database: a PBEsol-optimized structure of ZnHC2Cl (SCAN).

a = 3.289 Å, b = 4.066 Å, c = 4.066 Å
α = 90.00°, β = 90.00°, γ = 90.00°
Positions (direct):
H  0.500  0.000  0.000
Zn  0.000  0.000  0.000
C  0.000  0.000  0.500
C  0.000  0.500  0.000
Cl  0.500  0.500  0.500

**Symmetry**: P4/mmm, No. 123
**Uncorrected energy**: -6.876 eV per atom

***

[4]
Entry from the Alexandria database: a PBEsol-optimized structure of HfMg2CCl (SCAN).

a = 4.016 Å, b = 4.016 Å, c = 6.191 Å
α = 90.00°, β = 90.00°, γ = 90.00°
Positions (direct):
Mg  0.000  0.500  0.000
Mg  0.500  0.000  0.000
Hf  0.500  0.500  0.500
C  0.000  0.000  0.000
Cl  0.000  0.000  0.500

**Symmetry**: P4/mmm, No. 123
**Energy relative to the elements, uncorrected**: 0.77 eV/atom

***

[5]
Entry from the Alexandria database: a PBEsol-optimized structure of Hg2IrCCl (SCAN).

a = 4.221 Å, b = 5.660 Å, c = 5.660 Å
α = 90.00°, β = 90.00°, γ = 90.00°
Positions (direct):
C  0.500  0.500  0.500
Ir  0.500  0.000  0.000
Hg  0.000  0.000  0.500
Hg  0.000  0.500  0.000
Cl  0.000  0.000  0.000

**Symmetry**: P4/mmm, No. 123
**Energy relative to the elements, uncorrected**: 2.36 eV/atom

***

[6]
Entry from the Alexandria database: a PBEsol-optimized structure of HgC2ClO (SCAN).

a = 4.152 Å, b = 4.152 Å, c = 5.604 Å
α = 90.00°, β = 90.00°, γ = 90.00°
Positions (direct):
C  0.000  0.500  0.000
C  0.500  0.000  0.000
Hg  0.000  0.000  0.000
O  0.500  0.500  0.500
Cl  0.000  0.000  0.500

**Symmetry**: P4/mmm, No. 123
**Energy relative to the elements, uncorrected**: 2.73 eV/atom

***

[7]
Entry from the Alexandria database: a PBEsol-optimized structure of HgCSCl2 (SCAN).

a = 4.526 Å, b = 4.244 Å, c = 4.244 Å
α = 90.00°, β = 90.00°, γ = 90.00°
Positions (direct):
C  0.000  0.000  0.000
S  0.500  0.000  0.000
Hg  0.500  0.500  0.500
Cl  0.000  0.000  0.500
Cl  0.000  0.500  0.000

**Symmetry**: P4/mmm, No. 123
**Energy relative to the elements, uncorrected**: 1.01 eV/atom

***

[8]
Entry from the Alexandria database: a PBEsol-optimized structure of HgCSe2Cl (SCAN).

a = 4.154 Å, b = 4.154 Å, c = 5.951 Å
α = 90.00°, β = 90.00°, γ = 90.00°
Positions (direct):
C  0.000  0.000  0.000
Hg  0.000  0.000  0.500
Se  0.000  0.500  0.000
Se  0.500  0.000  0.000
Cl  0.500  0.500  0.500

**Symmetry**: P4/mmm, No. 123
**Energy relative to the elements, uncorrected**: 0.95 eV/atom